This record from the Alexandria database describes AcPm2Cu6 after structural relaxation. The functional is PBE.

Geometry as POSCAR:
```
AcPm2Cu6
1.0
7.4712 0.0000 0.0000
-3.7356 6.4702 0.0000
0.0000 0.0000 3.8417
Ac Pm Cu
1 2 6
direct
0.0000 0.0000 0.0000 Ac
0.3333 0.6667 0.0000 Pm
0.6667 0.3333 0.0000 Pm
0.0000 0.3370 0.5000 Cu
0.0000 0.6630 0.5000 Cu
0.3370 0.0000 0.5000 Cu
0.3370 0.3370 0.5000 Cu
0.6630 0.0000 0.5000 Cu
0.6630 0.6630 0.5000 Cu
```

Output
As for the symmetry: P6/mmm, No. 191. Its total magnetic moment is 0.0000 μB per atom. The calculation puts the energy relative to the elements at -206 meV per atom.

---

This record from the Alexandria database describes NdMgPd after structural relaxation. The functional is PBE.

Geometry as POSCAR:
```
NdMgPd
1.0
-1.7452 1.7452 5.6797
1.7452 -1.7452 5.6797
1.7452 1.7452 -5.6797
Nd Mg Pd
1 1 1
direct
0.0000 0.0000 0.0000 Nd
0.7167 0.7167 0.0000 Mg
0.3351 0.3351 0.0000 Pd
```

Output
As for the symmetry: I4mm, No. 107. Its total magnetic moment is 0.0000 μB per atom. The calculation puts the energy relative to the elements at -492 meV per atom.

---

This record from the Alexandria database describes HgRu2Cl after structural relaxation. The functional is PBE.

Geometry as POSCAR:
```
HgRu2Cl
1.0
-1.4360 2.5838 4.4837
1.4360 -2.5838 4.4837
1.4360 2.5838 -4.4837
Hg Ru Cl
1 2 1
direct
0.0000 0.0000 0.0000 Hg
0.2740 0.7740 0.5000 Ru
0.7260 0.2260 0.5000 Ru
0.5000 0.5000 0.0000 Cl
```

Output
For the offset from the most stable computed form, the calculation gives 2.12 eV/f.u. As for the symmetry: Immm, No. 71. Its total magnetic moment is 0.0000 μB per atom. The calculation puts the formation energy without anion corrections at 737 meV per atom.

---

This record from the Alexandria database describes MgZn2Au after structural relaxation. The functional is PBE.

Geometry as POSCAR:
```
MgZn2Au
1.0
3.2897 0.0000 0.0000
0.0000 3.5987 0.0000
0.0000 0.0000 5.6795
Mg Zn Au
1 2 1
direct
0.0000 0.0000 0.0000 Mg
0.5000 0.5000 0.2579 Zn
0.5000 0.5000 0.7422 Zn
0.0000 0.0000 0.5000 Au
```

Output
As for the symmetry: Pmmm, No. 47. Its total magnetic moment is 0.0000 μB per atom. The calculation puts the energy relative to the elements at -204 meV per atom.